# Rb4Au3F12

A relaxed Rb4Au3F12 crystal (PBE-GGA, Alexandria via LeMat-Bulk).

The structure belongs to space group Im-3 (No. 204); the cell edges are 9.764, 9.764 and 9.764 Å and the angles 90.00°, 90.00° and 90.00°. Symmetry generates all atoms from Rb at (0.250, 0.250, 0.250), Au at (0.000, 0.000, 0.500) and F at (0.000, 0.354, 0.146).

The calculation puts the density at 4.1 g/cm³. For the energy relative to the elements, uncorrected, the calculation gives -1.853 eV/atom. The value obtained for the total energy is -71.37 eV per formula unit. The calculation puts the density of states at the Fermi level at 16.36 states/eV/cell.